VASP calculation (PBE-GGA) on a geometry-optimized TlCoSb2W structure.

Properties
Crystal system   tetragonal
Raw formation energy   1.1768 eV per atom
Space group   P4/mmm
Total magnetization   2.9 μB/f.u.

Geometry as CIF:
```
data_TlCoSb2W
_cell_length_a 4.915
_cell_length_b 4.915
_cell_length_c 4.929
_cell_angle_alpha 90.00
_cell_angle_beta 90.00
_cell_angle_gamma 90.00
_space_group_name_H-M_alt 'P 1'
_space_group_IT_number 1
loop_
_space_group_symop_operation_xyz
'x,y,z'
loop_
_atom_site_label
_atom_site_type_symbol
_atom_site_fract_x
_atom_site_fract_y
_atom_site_fract_z
Tl1 Tl 0.000 0.000 0.000
Co1 Co 0.000 0.000 0.500
Sb1 Sb 0.000 0.500 0.500
Sb2 Sb 0.500 0.000 0.500
W1 W 0.500 0.500 0.000
```